1.
A plane-wave DFT calculation with PBE was carried out for a relaxed Li4Hg5Bi crystal.

Unit cell a=3.4019 b=3.4019 c=17.9082 alpha=90.00 beta=90.00 gamma=90.00
Fractional coordinates of all 10 atoms:
Hg 0.5000 0.5000 0.6795
Hg 0.5000 0.5000 0.1383
Hg 0.5000 0.5000 0.3205
Hg 0.5000 0.5000 0.5000
Hg 0.5000 0.5000 0.8617
Li 0.0000 0.0000 0.7755
Li 0.0000 0.0000 0.5913
Li 0.0000 0.0000 0.4087
Li 0.0000 0.0000 0.2245
Bi 0.0000 0.0000 0.0000

## Properties
For the total energy, the calculation gives -16.0 eV per cell. The space group is P4/mmm, No. 123. Its formation energy is -295 meV/atom.

***

2.
A plane-wave DFT calculation with PBE was carried out for a relaxed Li3Hg2Bi3 crystal.

Unit cell a=4.2927 b=4.7519 c=10.0570 alpha=103.67 beta=102.32 gamma=90.00
Fractional coordinates of all 8 atoms:
Hg 0.7423 0.2423 0.4847
Hg 0.2577 0.7577 0.5153
Bi 0.3759 0.3759 0.7518
Bi 0.6241 0.6241 0.2482
Bi 0.5000 0.0000 0.0000
Li 0.0000 0.5000 0.0000
Li 0.8700 0.8700 0.7400
Li 0.1300 0.1300 0.2600

## Properties
For the total energy, the calculation gives -20.0 eV per cell. The space group is Immm, No. 71. Its formation energy is -252 meV/atom.

***

3.
A plane-wave DFT calculation with PBE was carried out for a relaxed LiHg2Bi crystal.

Unit cell a=4.4915 b=4.4915 c=10.8916 alpha=78.10 beta=78.10 gamma=90.00
Fractional coordinates of all 8 atoms:
Bi 0.0000 0.0000 0.0000
Bi 0.7500 0.2500 0.5000
Hg 0.1489 0.6250 0.2500
Hg 0.3750 0.3989 0.7500
Hg 0.6011 0.1250 0.2500
Hg 0.8750 0.8511 0.7500
Li 0.2500 0.7500 0.5000
Li 0.5000 0.5000 0.0000

## Properties
For the total energy, the calculation gives -13.5 eV per cell. The space group is I-42d, No. 122. Its formation energy is -93 meV/atom.

***

4.
A plane-wave DFT calculation with PBE was carried out for a relaxed LiHg2Bi crystal.

Unit cell a=3.4724 b=3.4724 c=9.7612 alpha=79.75 beta=79.75 gamma=60.00
Fractional coordinates of all 4 atoms:
Li 0.6660 0.6660 0.0021
Hg 0.0700 0.0700 0.7899
Hg 0.2634 0.2634 0.2099
Bi 0.5006 0.5006 0.4981

## Properties
For the total energy, the calculation gives -7.0 eV per cell. The space group is R3m, No. 160. Its formation energy is -152 meV/atom.

***

5.
A plane-wave DFT calculation with PBE was carried out for a relaxed Li5Hg2Bi crystal.

Unit cell a=4.7557 b=4.7557 c=7.5011 alpha=108.48 beta=108.48 gamma=90.00
Fractional coordinates of all 8 atoms:
Bi 0.0000 0.0000 0.0000
Hg 0.7345 0.7345 0.4690
Hg 0.2655 0.2655 0.5310
Li 0.6299 0.1299 0.2599
Li 0.5000 0.5000 0.0000
Li 0.3701 0.8701 0.7401
Li 0.1299 0.6299 0.2599
Li 0.8701 0.3701 0.7401

## Properties
For the total energy, the calculation gives -17.3 eV per cell. The space group is I4/mmm, No. 139. Its formation energy is -410 meV/atom.

***

6.
A plane-wave DFT calculation with PBE was carried out for a relaxed Li3Hg2Bi crystal.

Unit cell a=3.4429 b=3.4429 c=10.3057 alpha=90.00 beta=90.00 gamma=90.00
Fractional coordinates of all 6 atoms:
Bi 0.5000 0.5000 0.5000
Hg 0.5000 0.5000 0.8474
Hg 0.5000 0.5000 0.1526
Li 0.0000 0.0000 0.3133
Li 0.0000 0.0000 0.6867
Li 0.0000 0.0000 0.0000

## Properties
For the total energy, the calculation gives -12.4 eV per cell. The space group is P4/mmm, No. 123. Its formation energy is -369 meV/atom.

***

7.
A plane-wave DFT calculation with PBE was carried out for a relaxed LiHgBi2 crystal.

Unit cell a=5.0915 b=5.0915 c=5.8748 alpha=64.32 beta=64.32 gamma=60.00
Fractional coordinates of all 4 atoms:
Li 0.6853 0.6853 0.9441
Bi 0.2645 0.2645 0.2065
Bi 0.0515 0.0515 0.8455
Hg 0.4987 0.4987 0.5039

## Properties
For the total energy, the calculation gives -10.3 eV per cell. The space group is R3m, No. 160. Its formation energy is -81 meV/atom.

***

8.
A plane-wave DFT calculation with PBE was carried out for a relaxed LiHg5Bi crystal.

Unit cell a=8.1382 b=8.1382 c=5.8831 alpha=75.96 beta=75.96 gamma=83.75
Fractional coordinates of all 14 atoms:
Li 0.0000 0.0000 0.0000
Li 0.5000 0.5000 0.5000
Hg 0.2637 0.7852 0.7133
Hg 0.6206 0.6249 0.8337
Hg 0.7363 0.2148 0.2867
Hg 0.1249 0.1206 0.3337
Hg 0.3794 0.3751 0.1663
Hg 0.0339 0.4661 0.7500
Hg 0.7148 0.2363 0.7867
Hg 0.2852 0.7637 0.2133
Hg 0.8751 0.8794 0.6663
Hg 0.9661 0.5339 0.2500
Bi 0.6791 0.8209 0.2500
Bi 0.3209 0.1791 0.7500

## Properties
For the total energy, the calculation gives -15.0 eV per cell. The space group is C2/c, No. 15. Its formation energy is -31 meV/atom.

***

The total moment results, record by record, are as follows: 0.0 0.0 0.0 0.0 0.0 0.0 0.0 0.0 μB per formula unit.